# 1
## K2NaCrCl6 (meta-GGA SCAN)

Data for K2NaCrCl6 at its PBEsol-relaxed geometry.

Final energy: -106.143 eV per formula unit
Calculated volume: 247.8 Å³/cell
Crystal system: cubic
Mass density: 2.5 g cm⁻³
Formation energy without anion corrections: -1.9018 eV per atom

Structure (POSCAR):
```
K2NaCrCl6
1.0
0.000 4.985 4.985
4.985 0.000 4.985
4.985 4.985 0.000
K Na Cr Cl
2 1 1 6
Cartesian
2.493 2.493 2.493
7.478 7.478 7.478
0.000 0.000 0.000
4.985 4.985 4.985
4.985 4.985 2.666
4.985 2.666 4.985
7.304 4.985 4.985
2.666 4.985 4.985
4.985 7.304 4.985
4.985 4.985 7.304
```

***

# 2
## LaCuTeN2 (meta-GGA SCAN)

Data for LaCuTeN2 at its PBEsol-relaxed geometry.

Final energy: -111.355 eV per formula unit
Calculated volume: 85.5 Å³/cell
Crystal system: tetragonal
Mass density: 7.0 g cm⁻³
Formation energy without anion corrections: 0.5567 eV per atom

Structure (POSCAR):
```
LaCuTeN2
1.0
4.241 0.000 0.000
0.000 4.241 0.000
0.000 0.000 4.756
La Cu Te N
1 1 1 2
Cartesian
0.000 0.000 0.000
2.120 2.120 2.378
2.120 2.120 0.000
0.000 2.120 2.378
2.120 0.000 2.378
```

***

# 3
## TcPRh2 (meta-GGA SCAN)

Data for TcPRh2 at its PBEsol-relaxed geometry.

Final energy: -113.818 eV per formula unit
Calculated volume: 52.8 Å³/cell
Crystal system: monoclinic
Mass density: 10.5 g cm⁻³
Formation energy from the elements: -204 meV/atom

Structure (POSCAR):
```
TcPRh2
1.0
2.767 0.000 0.000
0.000 3.908 0.000
-1.296 0.000 4.880
Tc P Rh
1 1 2
Cartesian
0.000 0.000 0.000
-0.648 0.000 2.440
0.053 1.954 3.605
1.418 1.954 1.276
```